# 1
DFT (PBE) results for a relaxed structure of TiSiRu3.

Properties
- calculated volume (Å³/atom) = 16.25
- energy relative to the elements, uncorrected (eV per atom) = 0.252
- DOS(E_F) (states/eV/cell) = 2.4
- energy above the lowest structure with this stoichiometry (eV per atom) = 0.000

Cell: 4.3312 4.3312 4.3312 Å, 90.00 90.00 90.00°
With the nearest neighbours (Å) after each atom.
Atoms (fractional coordinates):
Ru  0.0000  0.5000  0.0000  2 Si 2.17
Ru  0.0000  0.0000  0.5000  2 Si 2.17
Ru  0.5000  0.0000  0.0000  2 Si 2.17
Si  0.0000  0.0000  0.0000  6 Ru 2.17
Ti  0.5000  0.5000  0.5000  12 Ru 3.06


# 2
DFT (PBE) results for a relaxed structure of Ti4SiRu5.

Properties
- calculated volume (Å³/atom) = 14.21
- energy relative to the elements, uncorrected (eV per atom) = -0.757
- DOS(E_F) (states/eV/cell) = 2.1

Cell: 3.0564 3.0564 15.2148 Å, 90.00 90.00 90.00°
With the nearest neighbours (Å) after each atom.
Atoms (fractional coordinates):
Ti  0.0000  0.0000  0.1951  8 Ru 2.65-2.66, 1 Si 2.97
Ti  0.0000  0.0000  0.3985  8 Ru 2.66
Ti  0.0000  0.0000  0.6015  8 Ru 2.66
Ti  0.0000  0.0000  0.8049  8 Ru 2.65-2.66, 1 Si 2.97
Si  0.0000  0.0000  0.0000  8 Ru 2.58
Ru  0.5000  0.5000  0.0928  4 Si 2.58, 4 Ti 2.66, 1 Ru 2.82
Ru  0.5000  0.5000  0.2964  8 Ti 2.65-2.66
Ru  0.5000  0.5000  0.5000  8 Ti 2.66
Ru  0.5000  0.5000  0.7036  8 Ti 2.65-2.66
Ru  0.5000  0.5000  0.9072  4 Si 2.58, 4 Ti 2.66, 1 Ru 2.82


# 3
DFT (PBE) results for a relaxed structure of Ti2Si2Ru.

Properties
- calculated volume (Å³/atom) = 14.85
- energy relative to the elements, uncorrected (eV per atom) = -0.729
- DOS(E_F) (states/eV/cell) = 3.1

Cell: 3.7928 4.9772 4.9772 Å, 61.91 67.60 67.60°
With the nearest neighbours (Å) after each atom.
Atoms (fractional coordinates):
Ti  0.7962  0.7038  0.7038  6 Si 2.66-2.71, 2 Ru 2.95
Ti  0.2038  0.2962  0.2962  6 Si 2.66-2.71, 2 Ru 2.95
Si  0.5000  0.2738  0.7262  1 Si 2.32, 2 Ru 2.36
Si  0.5000  0.7262  0.2738  1 Si 2.32, 2 Ru 2.36
Ru  0.0000  0.0000  0.0000  4 Si 2.36


# 4
DFT (PBE) results for a relaxed structure of Ti2SiRu3.

Properties
- calculated volume (Å³/atom) = 13.93
- energy relative to the elements, uncorrected (eV per atom) = -0.788
- DOS(E_F) (states/eV/cell) = 1.8

Cell: 4.2936 6.8016 6.0340 Å, 90.00 90.01 71.60°
With the nearest neighbours (Å) after each atom.
Atoms (fractional coordinates):
Ti  0.0000  0.0000  0.0000  8 Ru 2.62-2.63
Ti  0.0000  0.0000  0.5000  8 Ru 2.63-2.68
Ti  0.3325  0.3351  0.5000  8 Ru 2.62-2.65
Ti  0.6675  0.6649  0.5000  8 Ru 2.62-2.65
Si  0.3381  0.3237  0.0000  8 Ru 2.57-2.62
Si  0.6619  0.6763  0.0000  8 Ru 2.57-2.62
Ru  0.8309  0.3385  0.7581  3 Si 2.60-2.62, 5 Ti 2.62-2.68
Ru  0.4999  0.0000  0.2485  2 Si 2.57, 6 Ti 2.62-2.64
Ru  0.1691  0.6615  0.2419  3 Si 2.60-2.62, 5 Ti 2.62-2.68
Ru  0.8305  0.3385  0.2419  3 Si 2.60-2.62, 5 Ti 2.62-2.68
Ru  0.1695  0.6615  0.7581  3 Si 2.60-2.62, 5 Ti 2.62-2.68
Ru  0.5001  0.0000  0.7515  2 Si 2.57, 6 Ti 2.62-2.64


# 5
DFT (PBE) results for a relaxed structure of TiSi4Ru5.

Properties
- calculated volume (Å³/atom) = 13.05
- energy relative to the elements, uncorrected (eV per atom) = -0.677
- DOS(E_F) (states/eV/cell) = 2.1

Cell: 2.9630 2.9630 14.8613 Å, 90.00 90.00 90.00°
With the nearest neighbours (Å) after each atom.
Atoms (fractional coordinates):
Ti  0.0000  0.0000  0.0000  8 Ru 2.64
Si  0.0000  0.0000  0.2031  8 Ru 2.52-2.57
Si  0.0000  0.0000  0.4014  8 Ru 2.55-2.56
Si  0.0000  0.0000  0.5986  8 Ru 2.55-2.56
Si  0.0000  0.0000  0.7969  8 Ru 2.52-2.57
Ru  0.5000  0.5000  0.1086  4 Si 2.52, 4 Ti 2.64
Ru  0.5000  0.5000  0.3037  8 Si 2.55-2.57
Ru  0.5000  0.5000  0.5000  8 Si 2.56
Ru  0.5000  0.5000  0.6963  8 Si 2.55-2.57
Ru  0.5000  0.5000  0.8914  4 Si 2.52, 4 Ti 2.64


# 6
DFT (PBE) results for a relaxed structure of TiSi5Ru6.

Properties
- calculated volume (Å³/atom) = 12.96
- energy relative to the elements, uncorrected (eV per atom) = -0.713
- DOS(E_F) (states/eV/cell) = 1.4

Cell: 4.1764 5.9126 6.6368 Å, 90.00 108.40 90.00°
With the nearest neighbours (Å) after each atom.
Atoms (fractional coordinates):
Ru  0.8309  0.7467  0.6612  7 Si 2.53-2.59, 1 Ti 2.61
Ru  0.8309  0.2533  0.6612  7 Si 2.53-2.59, 1 Ti 2.61
Ru  0.5000  0.2581  0.0000  6 Si 2.53-2.56, 2 Ti 2.59
Ru  0.5000  0.7419  0.0000  6 Si 2.53-2.56, 2 Ti 2.59
Ru  0.1691  0.7467  0.3388  7 Si 2.53-2.59, 1 Ti 2.61
Ru  0.1691  0.2533  0.3388  7 Si 2.53-2.59, 1 Ti 2.61
Si  0.6663  0.5000  0.3331  8 Ru 2.53-2.55
Si  0.3371  0.0000  0.6737  8 Ru 2.56-2.59
Si  0.0000  0.5000  0.0000  8 Ru 2.53-2.58
Si  0.6629  0.0000  0.3263  8 Ru 2.56-2.59
Si  0.3337  0.5000  0.6669  8 Ru 2.53-2.55
Ti  0.0000  0.0000  0.0000  8 Ru 2.59-2.61


# 7
DFT (PBE) results for a relaxed structure of Ti3SiRu.

Properties
- calculated volume (Å³/atom) = 18.51
- energy relative to the elements, uncorrected (eV per atom) = 0.542
- DOS(E_F) (states/eV/cell) = 7.2
- energy above the lowest structure with this stoichiometry (eV per atom) = 0.107

Cell: 4.5233 4.5233 4.5233 Å, 90.00 90.00 90.00°
With the nearest neighbours (Å) after each atom.
Atoms (fractional coordinates):
Ru  0.5000  0.5000  0.5000  12 Ti 3.20
Si  0.0000  0.0000  0.0000  6 Ti 2.26
Ti  0.0000  0.5000  0.0000  2 Si 2.26
Ti  0.0000  0.0000  0.5000  2 Si 2.26
Ti  0.5000  0.0000  0.0000  2 Si 2.26


# 8
DFT (PBE) results for a relaxed structure of Ti3SiRu.

Properties
- calculated volume (Å³/atom) = 19.94
- energy relative to the elements, uncorrected (eV per atom) = 0.435
- DOS(E_F) (states/eV/cell) = 6.5
- energy above the lowest structure with this stoichiometry (eV per atom) = 0.000

Cell: 4.6367 4.6367 4.6367 Å, 90.00 90.00 90.00°
With the nearest neighbours (Å) after each atom.
Atoms (fractional coordinates):
Ru  0.0000  0.0000  0.0000  6 Ti 2.32
Si  0.5000  0.5000  0.5000  12 Ti 3.28
Ti  0.0000  0.5000  0.0000  2 Ru 2.32
Ti  0.0000  0.0000  0.5000  2 Ru 2.32
Ti  0.5000  0.0000  0.0000  2 Ru 2.32